Below is a geometry-optimized TaB4Sb structure, with properties calculated at the GGA-PBE level.

Calculated values
Total moment ... 0.002 μB/cell
Final energy ... -42.7 eV per formula unit
Energy relative to the lowest polymorph listed for this composition ... 0 meV/atom

Cell lengths 3.0555, 3.0555, 8.6688 Å; angles 90.00, 90.00, 120.00 degrees
Space group P6/mmm (No. 191)
Inequivalent atoms, fractional coordinates:
Ta: 0.0000 0.0000 0.0000 [1 per cell]
B: 0.3333 0.6667 0.1911 [4 per cell]
Sb: 0.0000 0.0000 0.5000 [1 per cell]

Below is a geometry-optimized Ta2BSb structure, with properties calculated at the GGA-PBE level.

Calculated values
Total moment ... 0.006 μB/cell
Final energy ... -36.1 eV per formula unit

Cell lengths 3.4354, 3.4354, 12.9417 Å; angles 90.00, 90.00, 120.00 degrees
Space group P6_3/mmc (No. 194)
Inequivalent atoms, fractional coordinates:
Ta: 0.3333 0.6667 0.0881 [4 per cell]
B: 0.0000 0.0000 0.0000 [2 per cell]
Sb: 0.3333 0.6667 0.7500 [2 per cell]

Below is a geometry-optimized TaB4Sb structure, with properties calculated at the GGA-PBE level.

Calculated values
Total moment ... 0.004 μB/cell
Final energy ... -40.9 eV per formula unit
Energy relative to the lowest polymorph listed for this composition ... 302 meV/atom

Cell lengths 3.068, 5.487, 7.525 Å; angles 90.00, 90.00, 90.00 degrees
Space group Immm (No. 71)
Inequivalent atoms, fractional coordinates:
Ta: 0.000 0.000 0.000 [2 per cell]
B: 0.000 0.334 0.253 [8 per cell]
Sb: 0.000 0.000 0.500 [2 per cell]

Below is a geometry-optimized TbBSb structure, with properties calculated at the GGA-PBE level.

Calculated values
Total moment ... 0.037 μB/cell
Final energy ... -14.8 eV per formula unit

Cell lengths 6.333, 6.333, 6.333 Å; angles 90.00, 90.00, 90.00 degrees
Space group F-43m (No. 216)
Inequivalent atoms, fractional coordinates:
Tb: 0.000 0.000 0.000 [4 per cell]
B: 0.250 0.250 0.750 [4 per cell]
Sb: 0.000 0.000 0.500 [4 per cell]

Below is a geometry-optimized TcB4Sb structure, with properties calculated at the GGA-PBE level.

Calculated values
Total moment ... 0.004 μB/cell
Final energy ... -39.4 eV per formula unit
Energy relative to the lowest polymorph listed for this composition ... 0 meV/atom

Cell lengths 2.9902, 2.9902, 8.5069 Å; angles 90.00, 90.00, 120.00 degrees
Space group P6/mmm (No. 191)
Inequivalent atoms, fractional coordinates:
Tc: 0.0000 0.0000 0.0000 [1 per cell]
B: 0.3333 0.6667 0.1978 [4 per cell]
Sb: 0.0000 0.0000 0.5000 [1 per cell]

Below is a geometry-optimized TcB4Sb structure, with properties calculated at the GGA-PBE level.

Calculated values
Total moment ... 0.025 μB/cell
Final energy ... -37.9 eV per formula unit
Energy relative to the lowest polymorph listed for this composition ... 253 meV/atom

Cell lengths 3.090, 5.403, 7.334 Å; angles 90.00, 90.00, 90.00 degrees
Space group Immm (No. 71)
Inequivalent atoms, fractional coordinates:
Tc: 0.000 0.000 0.000 [2 per cell]
B: 0.000 0.336 0.255 [8 per cell]
Sb: 0.000 0.000 0.500 [2 per cell]

Below is a geometry-optimized ThBSb structure, with properties calculated at the GGA-PBE level.

Calculated values
Total moment ... 0.020 μB/cell
Final energy ... -17.7 eV per formula unit

Cell lengths 6.454, 6.454, 6.454 Å; angles 90.00, 90.00, 90.00 degrees
Space group F-43m (No. 216)
Inequivalent atoms, fractional coordinates:
Th: 0.000 0.000 0.000 [4 per cell]
B: 0.250 0.250 0.750 [4 per cell]
Sb: 0.000 0.000 0.500 [4 per cell]

Below is a geometry-optimized ThB4Sb structure, with properties calculated at the GGA-PBE level.

Calculated values
Total moment ... 0.000 μB/cell
Final energy ... -37.3 eV per formula unit
Energy relative to the lowest polymorph listed for this composition ... 154 meV/atom

Cell lengths 3.2584, 3.2584, 8.3687 Å; angles 90.00, 90.00, 120.00 degrees
Space group P6/mmm (No. 191)
Inequivalent atoms, fractional coordinates:
Th: 0.0000 0.0000 0.0000 [1 per cell]
B: 0.3333 0.6667 0.2493 [4 per cell]
Sb: 0.0000 0.0000 0.5000 [1 per cell]

Below is a geometry-optimized ThB4Sb structure, with properties calculated at the GGA-PBE level.

Calculated values
Total moment ... 0.002 μB/cell
Final energy ... -38.2 eV per formula unit
Energy relative to the lowest polymorph listed for this composition ... 0 meV/atom

Cell lengths 3.253, 5.291, 9.057 Å; angles 90.00, 90.00, 90.00 degrees
Space group Immm (No. 71)
Inequivalent atoms, fractional coordinates:
Th: 0.000 0.000 0.000 [2 per cell]
B: 0.000 0.318 0.266 [8 per cell]
Sb: 0.000 0.000 0.500 [2 per cell]

Below is a geometry-optimized UBSb structure, with properties calculated at the GGA-PBE level.

Calculated values
Total moment ... 5.049 μB/cell
Final energy ... -19.1 eV per formula unit
Energy relative to the lowest polymorph listed for this composition ... 569 meV/atom

Cell lengths 6.551, 6.551, 6.551 Å; angles 90.00, 90.00, 90.00 degrees
Space group F-43m (No. 216)
Inequivalent atoms, fractional coordinates:
U: 0.000 0.000 0.000 [4 per cell]
B: 0.250 0.250 0.250 [4 per cell]
Sb: 0.250 0.250 0.750 [4 per cell]

Below is a geometry-optimized UBSb structure, with properties calculated at the GGA-PBE level.

Calculated values
Total moment ... 8.571 μB/cell
Final energy ... -20.8 eV per formula unit
Energy relative to the lowest polymorph listed for this composition ... 0 meV/atom

Cell lengths 6.151, 6.151, 6.151 Å; angles 90.00, 90.00, 90.00 degrees
Space group F-43m (No. 216)
Inequivalent atoms, fractional coordinates:
U: 0.000 0.000 0.000 [4 per cell]
B: 0.250 0.250 0.750 [4 per cell]
Sb: 0.000 0.000 0.500 [4 per cell]

Below is a geometry-optimized B2SbW3 structure, with properties calculated at the GGA-PBE level.

Calculated values
Total moment ... 0.007 μB/cell
Final energy ... -56.0 eV per formula unit

Cell lengths 3.2368, 3.2368, 18.4480 Å; angles 90.00, 90.00, 120.00 degrees
Space group P6_3/mmc (No. 194)
Inequivalent atoms, fractional coordinates:
B: 0.3333 0.6667 0.0702 [4 per cell]
Sb: 0.0000 0.0000 0.2500 [2 per cell]
W: 0.0000 0.0000 0.0000 [2 per cell]
W: 0.3333 0.6667 0.6308 [4 per cell]

Below is a geometry-optimized B2SbW2 structure, with properties calculated at the GGA-PBE level.

Calculated values
Total moment ... 0.016 μB/cell
Final energy ... -42.8 eV per formula unit

Cell lengths 3.057, 13.861, 3.124 Å; angles 90.00, 90.00, 90.00 degrees
Space group Cmmm (No. 65)
Inequivalent atoms, fractional coordinates:
B: 0.000 0.215 0.000 [4 per cell]
Sb: 0.000 0.000 0.000 [2 per cell]
W: 0.000 0.341 0.500 [4 per cell]

Below is a geometry-optimized BSbW structure, with properties calculated at the GGA-PBE level.

Calculated values
Total moment ... 0.008 μB/cell
Final energy ... -20.3 eV per formula unit
Energy relative to the lowest polymorph listed for this composition ... 0 meV/atom

Cell lengths 5.737, 5.737, 5.737 Å; angles 90.00, 90.00, 90.00 degrees
Space group F-43m (No. 216)
Inequivalent atoms, fractional coordinates:
B: 0.000 0.000 0.000 [4 per cell]
Sb: 0.250 0.250 0.750 [4 per cell]
W: 0.250 0.250 0.250 [4 per cell]

Below is a geometry-optimized BSbW structure, with properties calculated at the GGA-PBE level.

Calculated values
Total moment ... 1.761 μB/cell
Final energy ... -19.2 eV per formula unit
Energy relative to the lowest polymorph listed for this composition ... 369 meV/atom

Cell lengths 6.069, 6.069, 6.069 Å; angles 90.00, 90.00, 90.00 degrees
Space group F-43m (No. 216)
Inequivalent atoms, fractional coordinates:
B: 0.000 0.000 0.000 [4 per cell]
Sb: 0.000 0.000 0.500 [4 per cell]
W: 0.250 0.250 0.250 [4 per cell]

Below is a geometry-optimized ZnBSb structure, with properties calculated at the GGA-PBE level.

Calculated values
Final energy ... -8.8 eV per formula unit

Cell lengths 6.225, 6.225, 6.225 Å; angles 90.00, 90.00, 90.00 degrees
Space group F-43m (No. 216)
Inequivalent atoms, fractional coordinates:
Zn: 0.000 0.000 0.000 [4 per cell]
B: 0.000 0.000 0.500 [4 per cell]
Sb: 0.250 0.250 0.750 [4 per cell]

Below is a geometry-optimized ZnBSb2 structure, with properties calculated at the GGA-PBE level.

Calculated values
Final energy ... -11.9 eV per formula unit

Cell lengths 6.921, 6.921, 6.921 Å; angles 90.00, 90.00, 90.00 degrees
Space group F-43m (No. 216)
Inequivalent atoms, fractional coordinates:
Zn: 0.000 0.000 0.000 [4 per cell]
B: 0.250 0.250 0.750 [4 per cell]
Sb: 0.000 0.000 0.500 [4 per cell]
Sb: 0.250 0.250 0.250 [4 per cell]

Below is a geometry-optimized Zr2BSb structure, with properties calculated at the GGA-PBE level.

Calculated values
Total moment ... 0.007 μB/cell
Final energy ... -30.6 eV per formula unit

Cell lengths 3.5350, 3.5350, 14.1884 Å; angles 90.00, 90.00, 120.00 degrees
Space group P6_3/mmc (No. 194)
Inequivalent atoms, fractional coordinates:
Zr: 0.3333 0.6667 0.0912 [4 per cell]
B: 0.0000 0.0000 0.0000 [2 per cell]
Sb: 0.3333 0.6667 0.7500 [2 per cell]

Below is a geometry-optimized ZrB4Sb structure, with properties calculated at the GGA-PBE level.

Calculated values
Total moment ... 0.003 μB/cell
Final energy ... -39.1 eV per formula unit
Energy relative to the lowest polymorph listed for this composition ... 69 meV/atom

Cell lengths 3.118, 5.381, 7.994 Å; angles 90.00, 90.00, 90.00 degrees
Space group Immm (No. 71)
Inequivalent atoms, fractional coordinates:
Zr: 0.000 0.000 0.000 [2 per cell]
B: 0.000 0.332 0.253 [8 per cell]
Sb: 0.000 0.000 0.500 [2 per cell]

Below is a geometry-optimized Zr5BSb3 structure, with properties calculated at the GGA-PBE level.

Calculated values
Total moment ... 0.013 μB/cell
Final energy ... -68.9 eV per formula unit

Cell lengths 8.5158, 8.5158, 5.8007 Å; angles 90.00, 90.00, 120.00 degrees
Space group P6_3/mcm (No. 193)
Inequivalent atoms, fractional coordinates:
Zr: 0.0000 0.2336 0.2500 [6 per cell]
Zr: 0.3333 0.6667 0.0000 [4 per cell]
B: 0.0000 0.0000 0.0000 [2 per cell]
Sb: 0.0000 0.3989 0.7500 [6 per cell]

Below is a geometry-optimized ZrB4Sb structure, with properties calculated at the GGA-PBE level.

Calculated values
Total moment ... 0.000 μB/cell
Final energy ... -39.5 eV per formula unit
Energy relative to the lowest polymorph listed for this composition ... 0 meV/atom

Cell lengths 3.1742, 3.1742, 7.8391 Å; angles 90.00, 90.00, 120.00 degrees
Space group P6/mmm (No. 191)
Inequivalent atoms, fractional coordinates:
Zr: 0.0000 0.0000 0.0000 [1 per cell]
B: 0.3333 0.6667 0.2245 [4 per cell]
Sb: 0.0000 0.0000 0.5000 [1 per cell]

Below is a geometry-optimized Zr2B2Sb structure, with properties calculated at the GGA-PBE level.

Calculated values
Total moment ... 0.008 μB/cell
Final energy ... -37.7 eV per formula unit

Cell lengths 3.161, 13.939, 3.568 Å; angles 90.00, 90.00, 90.00 degrees
Space group Cmmm (No. 65)
Inequivalent atoms, fractional coordinates:
Zr: 0.000 0.149 0.000 [4 per cell]
B: 0.000 0.271 0.500 [4 per cell]
Sb: 0.000 0.500 0.500 [2 per cell]

Below is a geometry-optimized SmScB structure, with properties calculated at the GGA-PBE level.

Calculated values
Total moment ... 0.057 μB/cell
Final energy ... -17.5 eV per formula unit
Energy relative to the lowest polymorph listed for this composition ... 0 meV/atom

Cell lengths 6.271, 6.271, 6.271 Å; angles 90.00, 90.00, 90.00 degrees
Space group F-43m (No. 216)
Inequivalent atoms, fractional coordinates:
Sm: 0.000 0.000 0.000 [4 per cell]
Sc: 0.000 0.000 0.500 [4 per cell]
B: 0.250 0.250 0.250 [4 per cell]

Below is a geometry-optimized SmScB structure, with properties calculated at the GGA-PBE level.

Calculated values
Total moment ... 1.613 μB/cell
Final energy ... -14.3 eV per formula unit
Energy relative to the lowest polymorph listed for this composition ... 1083 meV/atom

Cell lengths 6.256, 6.256, 6.256 Å; angles 90.00, 90.00, 90.00 degrees
Space group F-43m (No. 216)
Inequivalent atoms, fractional coordinates:
Sm: 0.000 0.000 0.000 [4 per cell]
Sc: 0.250 0.250 0.250 [4 per cell]
B: 0.250 0.250 0.750 [4 per cell]

Below is a geometry-optimized ZrSc3Sn2B2 structure, with properties calculated at the GGA-PBE level.

Calculated values
Total moment ... 0.005 μB/cell
Final energy ... -52.1 eV per formula unit

Cell lengths 3.4561, 3.4561, 15.2703 Å; angles 90.00, 90.00, 120.00 degrees
Space group P3m1 (No. 156)
Inequivalent atoms, fractional coordinates:
Zr: 0.0000 0.0000 0.0000 [1 per cell]
Sc: 0.0000 0.0000 0.6743 [1 per cell]
Sc: 0.6667 0.3333 0.1690 [1 per cell]
Sc: 0.6667 0.3333 0.4943 [1 per cell]
Sn: 0.0000 0.0000 0.3314 [1 per cell]
Sn: 0.6667 0.3333 0.8366 [1 per cell]
B: 0.3333 0.6667 0.0798 [1 per cell]
B: 0.3333 0.6667 0.5842 [1 per cell]

Below is a geometry-optimized ScTaB4 structure, with properties calculated at the GGA-PBE level.

Calculated values
Total moment ... 0.002 μB/cell
Final energy ... -50.2 eV per formula unit

Cell lengths 3.0906, 3.0906, 6.8701 Å; angles 90.00, 90.00, 120.00 degrees
Space group P6/mmm (No. 191)
Inequivalent atoms, fractional coordinates:
Sc: 0.0000 0.0000 0.0000 [1 per cell]
Ta: 0.0000 0.0000 0.5000 [1 per cell]
B: 0.3333 0.6667 0.2551 [4 per cell]

Below is a geometry-optimized ScTaB structure, with properties calculated at the GGA-PBE level.

Calculated values
Total moment ... 0.001 μB/cell
Final energy ... -24.8 eV per formula unit
Energy relative to the lowest polymorph listed for this composition ... 0 meV/atom

Cell lengths 5.706, 5.706, 5.706 Å; angles 90.00, 90.00, 90.00 degrees
Space group F-43m (No. 216)
Inequivalent atoms, fractional coordinates:
Sc: 0.000 0.000 0.000 [4 per cell]
Ta: 0.000 0.000 0.500 [4 per cell]
B: 0.250 0.250 0.250 [4 per cell]